(1)
NbAl2Co | PBE | optimized geometry

Summary:
Its space group is F-43m. Its crystal system is cubic. The value obtained for the spin magnetization is 0.16 μB/atom.

a = 4.3509 Å, b = 4.3509 Å, c = 4.3509 Å
α = 60.00°, β = 60.00°, γ = 60.00°
Closest atoms and distances in Å follow each position.
Positions (direct):
Nb (0.0000, 0.0000, 0.0000)  4 Al 2.66, 4 Co 2.66
Al (0.5000, 0.5000, 0.5000)  4 Al 2.66, 4 Co 2.66
Al (0.7500, 0.7500, 0.7500)  4 Nb 2.66, 4 Al 2.66
Co (0.2500, 0.2500, 0.2500)  4 Nb 2.66, 4 Al 2.66

(2)
Ba2ZnTeO6 | PBE | optimized geometry

Summary:
Its space group is Fm-3m. Its crystal system is cubic.

a = 5.7737 Å, b = 5.7737 Å, c = 5.7737 Å
α = 60.00°, β = 60.00°, γ = 60.00°
Closest atoms and distances in Å follow each position.
Positions (direct):
Ba (0.2500, 0.2500, 0.2500)  12 O 2.89
Ba (0.7500, 0.7500, 0.7500)  12 O 2.89
Zn (0.0000, 0.0000, 0.0000)  6 O 2.13
Te (0.5000, 0.5000, 0.5000)  6 O 1.96
O (0.2605, 0.2605, 0.7395)  1 Te 1.96, 1 Zn 2.13
O (0.2605, 0.7395, 0.2605)  1 Te 1.96, 1 Zn 2.13
O (0.2605, 0.7395, 0.7395)  1 Te 1.96, 1 Zn 2.13
O (0.7395, 0.2605, 0.2605)  1 Te 1.96, 1 Zn 2.13
O (0.7395, 0.2605, 0.7395)  1 Te 1.96, 1 Zn 2.13
O (0.7395, 0.7395, 0.2605)  1 Te 1.96, 1 Zn 2.13

(3)
CsCoCuTc | PBE | optimized geometry

Summary:
Its space group is F-43m. Its crystal system is cubic. For the distance to the lowest polymorph of the same formula, the calculation gives 28 meV/atom. The value obtained for the spin magnetization is 0.90 μB/atom.

a = 4.6902 Å, b = 4.6902 Å, c = 4.6902 Å
α = 60.00°, β = 60.00°, γ = 60.00°
Closest atoms and distances in Å follow each position.
Positions (direct):
Cs (0.0000, 0.0000, 0.0000)  4 Tc 2.87, 4 Cu 2.87
Co (0.5000, 0.5000, 0.5000)  4 Tc 2.87, 4 Cu 2.87
Cu (0.2500, 0.2500, 0.2500)  4 Co 2.87, 4 Cs 2.87
Tc (0.7500, 0.7500, 0.7500)  4 Co 2.87, 4 Cs 2.87

| no. | calculated total energy (Ry per atom) |
| --- | --- |
| 1 | -0.46337 |
| 2 | -0.42183 |
| 3 | -0.28273 |